Version A
First-principles (PBE-GGA) data for crystalline Ac2PuZn at its relaxed geometry, as listed in Alexandria via LeMat-Bulk.

Cell and atoms, written as CIF:
```
data_Ac2PuZn
_symmetry_space_group_name_H-M 'P 1'
_symmetry_Int_Tables_number 1
_symmetry_space_group_name_Hall 'P 1'
_cell_length_a 5.8046
_cell_length_b 5.8046
_cell_length_c 3.8289
_cell_angle_alpha 90.00
_cell_angle_beta 90.00
_cell_angle_gamma 90.00
loop_
_atom_site_label
_atom_site_type_symbol
_atom_site_fract_x
_atom_site_fract_y
_atom_site_fract_z
_atom_site_occupancy
Ac1 Ac 0.0000 0.5000 0.0000 1
Ac2 Ac 0.5000 0.0000 0.0000 1
Pu1 Pu 0.0000 0.0000 0.5000 1
Zn1 Zn 0.5000 0.5000 0.5000 1
```

Calculated values
N(E_F)	9.1	states/eV/cell
V	32.25	Å³ per atom

Version B
First-principles (PBE-GGA) data for crystalline Ac2PuZn at its relaxed geometry, as listed in Alexandria via LeMat-Bulk.

Cell and atoms, written as CIF:
```
data_Ac2PuZn
_symmetry_space_group_name_H-M 'P 1'
_symmetry_Int_Tables_number 1
_symmetry_space_group_name_Hall 'P 1'
_cell_length_a 3.8505
_cell_length_b 3.8505
_cell_length_c 9.0528
_cell_angle_alpha 90.00
_cell_angle_beta 90.00
_cell_angle_gamma 90.00
loop_
_atom_site_label
_atom_site_type_symbol
_atom_site_fract_x
_atom_site_fract_y
_atom_site_fract_z
_atom_site_occupancy
Ac1 Ac 0.0000 0.0000 0.2171 1
Ac2 Ac 0.0000 0.0000 0.7829 1
Pu1 Pu 0.5000 0.5000 0.5000 1
Zn1 Zn 0.5000 0.5000 0.0000 1
```

Calculated values
N(E_F)	9.9	states/eV/cell
V	33.56	Å³ per atom

Q: Which of them is the most stable? A: version B.

Version A
First-principles (PBE-GGA) data for crystalline AcPuZr2 at its relaxed geometry, as listed in Alexandria via LeMat-Bulk.

Cell and atoms, written as CIF:
```
data_AcPuZr2
_symmetry_space_group_name_H-M 'P 1'
_symmetry_Int_Tables_number 1
_symmetry_space_group_name_Hall 'P 1'
_cell_length_a 3.8694
_cell_length_b 3.8694
_cell_length_c 7.5995
_cell_angle_alpha 90.00
_cell_angle_beta 90.00
_cell_angle_gamma 90.00
loop_
_atom_site_label
_atom_site_type_symbol
_atom_site_fract_x
_atom_site_fract_y
_atom_site_fract_z
_atom_site_occupancy
Ac1 Ac 0.0000 0.0000 0.0000 1
Pu1 Pu 0.0000 0.0000 0.5000 1
Zr1 Zr 0.5000 0.5000 0.3035 1
Zr2 Zr 0.5000 0.5000 0.6965 1
```

Calculated values
N(E_F)	8.2	states/eV/cell
V	28.44	Å³ per atom

Version B
First-principles (PBE-GGA) data for crystalline AcPuZr2 at its relaxed geometry, as listed in Alexandria via LeMat-Bulk.

Cell and atoms, written as CIF:
```
data_AcPuZr2
_symmetry_space_group_name_H-M 'P 1'
_symmetry_Int_Tables_number 1
_symmetry_space_group_name_Hall 'P 1'
_cell_length_a 11.7959
_cell_length_b 11.7959
_cell_length_c 11.7959
_cell_angle_alpha 16.37
_cell_angle_beta 16.37
_cell_angle_gamma 16.37
loop_
_atom_site_label
_atom_site_type_symbol
_atom_site_fract_x
_atom_site_fract_y
_atom_site_fract_z
_atom_site_occupancy
Ac1 Ac 0.0000 0.0000 0.0000 1
Pu1 Pu 0.5000 0.5000 0.5000 1
Zr1 Zr 0.0949 0.0949 0.0949 1
Zr2 Zr 0.9051 0.9051 0.9051 1
```

Calculated values
N(E_F)	9.6	states/eV/cell
V	28.41	Å³ per atom

Q: Which of them is the most stable? A: version A.

Version A
First-principles (PBE-GGA) data for crystalline RbAc2Rh at its relaxed geometry, as listed in Alexandria via LeMat-Bulk.

Cell and atoms, written as CIF:
```
data_RbAc2Rh
_symmetry_space_group_name_H-M 'P 1'
_symmetry_Int_Tables_number 1
_symmetry_space_group_name_Hall 'P 1'
_cell_length_a 3.8249
_cell_length_b 3.8249
_cell_length_c 11.4492
_cell_angle_alpha 90.00
_cell_angle_beta 90.00
_cell_angle_gamma 90.00
loop_
_atom_site_label
_atom_site_type_symbol
_atom_site_fract_x
_atom_site_fract_y
_atom_site_fract_z
_atom_site_occupancy
Rb1 Rb 0.0000 0.0000 0.0000 1
Ac1 Ac 0.5000 0.5000 0.3492 1
Ac2 Ac 0.5000 0.5000 0.6508 1
Rh1 Rh 0.0000 0.0000 0.5000 1
```

Calculated values
N(E_F)	3.0	states/eV/cell
V	41.87	Å³ per atom

Version B
First-principles (PBE-GGA) data for crystalline RbAc2Rh at its relaxed geometry, as listed in Alexandria via LeMat-Bulk.

Cell and atoms, written as CIF:
```
data_RbAc2Rh
_symmetry_space_group_name_H-M 'P 1'
_symmetry_Int_Tables_number 1
_symmetry_space_group_name_Hall 'P 1'
_cell_length_a 12.2827
_cell_length_b 12.2827
_cell_length_c 12.2827
_cell_angle_alpha 20.58
_cell_angle_beta 20.58
_cell_angle_gamma 20.58
loop_
_atom_site_label
_atom_site_type_symbol
_atom_site_fract_x
_atom_site_fract_y
_atom_site_fract_z
_atom_site_occupancy
Rb1 Rb 0.0000 0.0000 0.0000 1
Ac1 Ac 0.1233 0.1233 0.1233 1
Ac2 Ac 0.8767 0.8767 0.8767 1
Rh1 Rh 0.5000 0.5000 0.5000 1
```

Calculated values
N(E_F)	4.2	states/eV/cell
V	50.11	Å³ per atom

Version C
First-principles (PBE-GGA) data for crystalline RbAc2Rh at its relaxed geometry, as listed in Alexandria via LeMat-Bulk.

Cell and atoms, written as CIF:
```
data_RbAc2Rh
_symmetry_space_group_name_H-M 'P 1'
_symmetry_Int_Tables_number 1
_symmetry_space_group_name_Hall 'P 1'
_cell_length_a 4.4182
_cell_length_b 4.4182
_cell_length_c 11.0714
_cell_angle_alpha 90.16
_cell_angle_beta 90.16
_cell_angle_gamma 59.97
loop_
_atom_site_label
_atom_site_type_symbol
_atom_site_fract_x
_atom_site_fract_y
_atom_site_fract_z
_atom_site_occupancy
Rb1 Rb 0.0000 0.0000 0.0000 1
Ac1 Ac 0.3326 0.3326 0.3596 1
Ac2 Ac 0.6674 0.6674 0.6404 1
Rh1 Rh 0.0000 0.0000 0.5000 1
```

Calculated values
N(E_F)	3.5	states/eV/cell
V	46.78	Å³ per atom

Q: Which of them is the most stable? A: version C.

Version A
First-principles (PBE-GGA) data for crystalline RbAc2Sn at its relaxed geometry, as listed in Alexandria via LeMat-Bulk.

Cell and atoms, written as CIF:
```
data_RbAc2Sn
_symmetry_space_group_name_H-M 'P 1'
_symmetry_Int_Tables_number 1
_symmetry_space_group_name_Hall 'P 1'
_cell_length_a 13.0480
_cell_length_b 13.0480
_cell_length_c 13.0480
_cell_angle_alpha 20.25
_cell_angle_beta 20.25
_cell_angle_gamma 20.25
loop_
_atom_site_label
_atom_site_type_symbol
_atom_site_fract_x
_atom_site_fract_y
_atom_site_fract_z
_atom_site_occupancy
Rb1 Rb 0.0000 0.0000 0.0000 1
Ac1 Ac 0.1164 0.1164 0.1164 1
Ac2 Ac 0.8836 0.8836 0.8836 1
Sn1 Sn 0.5000 0.5000 0.5000 1
```

Calculated values
N(E_F)	4.6	states/eV/cell
V	58.20	Å³ per atom

Version B
First-principles (PBE-GGA) data for crystalline RbAc2Sn at its relaxed geometry, as listed in Alexandria via LeMat-Bulk.

Cell and atoms, written as CIF:
```
data_RbAc2Sn
_symmetry_space_group_name_H-M 'P 1'
_symmetry_Int_Tables_number 1
_symmetry_space_group_name_Hall 'P 1'
_cell_length_a 4.2681
_cell_length_b 4.2681
_cell_length_c 10.8908
_cell_angle_alpha 90.00
_cell_angle_beta 90.00
_cell_angle_gamma 90.00
loop_
_atom_site_label
_atom_site_type_symbol
_atom_site_fract_x
_atom_site_fract_y
_atom_site_fract_z
_atom_site_occupancy
Rb1 Rb 0.0000 0.0000 0.0000 1
Ac1 Ac 0.5000 0.5000 0.3419 1
Ac2 Ac 0.5000 0.5000 0.6581 1
Sn1 Sn 0.0000 0.0000 0.5000 1
```

Calculated values
N(E_F)	4.6	states/eV/cell
V	49.60	Å³ per atom

Q: Which of them is the most stable? A: version B.

Version A
First-principles (PBE-GGA) data for crystalline RbSr2Ac at its relaxed geometry, as listed in Alexandria via LeMat-Bulk.

Cell and atoms, written as CIF:
```
data_RbSr2Ac
_symmetry_space_group_name_H-M 'P 1'
_symmetry_Int_Tables_number 1
_symmetry_space_group_name_Hall 'P 1'
_cell_length_a 4.1760
_cell_length_b 4.1760
_cell_length_c 13.1168
_cell_angle_alpha 90.00
_cell_angle_beta 90.00
_cell_angle_gamma 90.00
loop_
_atom_site_label
_atom_site_type_symbol
_atom_site_fract_x
_atom_site_fract_y
_atom_site_fract_z
_atom_site_occupancy
Rb1 Rb 0.0000 0.0000 0.0000 1
Sr1 Sr 0.5000 0.5000 0.2833 1
Sr2 Sr 0.5000 0.5000 0.7167 1
Ac1 Ac 0.0000 0.0000 0.5000 1
```

Calculated values
N(E_F)	5.8	states/eV/cell
V	57.18	Å³ per atom

Version B
First-principles (PBE-GGA) data for crystalline RbSr2Ac at its relaxed geometry, as listed in Alexandria via LeMat-Bulk.

Cell and atoms, written as CIF:
```
data_RbSr2Ac
_symmetry_space_group_name_H-M 'P 1'
_symmetry_Int_Tables_number 1
_symmetry_space_group_name_Hall 'P 1'
_cell_length_a 15.3608
_cell_length_b 15.3608
_cell_length_c 15.3608
_cell_angle_alpha 15.60
_cell_angle_beta 15.60
_cell_angle_gamma 15.60
loop_
_atom_site_label
_atom_site_type_symbol
_atom_site_fract_x
_atom_site_fract_y
_atom_site_fract_z
_atom_site_occupancy
Rb1 Rb 0.0000 0.0000 0.0000 1
Sr1 Sr 0.0936 0.0936 0.0936 1
Sr2 Sr 0.9064 0.9064 0.9064 1
Ac1 Ac 0.5000 0.5000 0.5000 1
```

Calculated values
N(E_F)	6.6	states/eV/cell
V	57.10	Å³ per atom

Q: Which of them is the most stable? A: version A.

Version A
First-principles (PBE-GGA) data for crystalline RbAcTe at its relaxed geometry, as listed in Alexandria via LeMat-Bulk.

Cell and atoms, written as CIF:
```
data_RbAcTe
_symmetry_space_group_name_H-M 'P 1'
_symmetry_Int_Tables_number 1
_symmetry_space_group_name_Hall 'P 1'
_cell_length_a 8.4233
_cell_length_b 7.2084
_cell_length_c 8.6962
_cell_angle_alpha 90.00
_cell_angle_beta 90.00
_cell_angle_gamma 90.00
loop_
_atom_site_label
_atom_site_type_symbol
_atom_site_fract_x
_atom_site_fract_y
_atom_site_fract_z
_atom_site_occupancy
Rb1 Rb 0.0005 0.2500 0.0850 1
Rb2 Rb 0.9995 0.7500 0.9150 1
Rb3 Rb 0.5005 0.2500 0.4150 1
Rb4 Rb 0.4995 0.7500 0.5850 1
Ac1 Ac 0.0000 0.0000 0.5000 1
Ac2 Ac 0.0000 0.5000 0.5000 1
Ac3 Ac 0.5000 0.0000 0.0000 1
Ac4 Ac 0.5000 0.5000 0.0000 1
Te1 Te 0.2504 0.2500 0.7497 1
Te2 Te 0.2496 0.7500 0.2497 1
Te3 Te 0.7504 0.2500 0.7503 1
Te4 Te 0.7496 0.7500 0.2503 1
```

Calculated values
N(E_F)	7.4	states/eV/cell
V	44.00	Å³ per atom

Version B
First-principles (PBE-GGA) data for crystalline RbAcTe at its relaxed geometry, as listed in Alexandria via LeMat-Bulk.

Cell and atoms, written as CIF:
```
data_RbAcTe
_symmetry_space_group_name_H-M 'P 1'
_symmetry_Int_Tables_number 1
_symmetry_space_group_name_Hall 'P 1'
_cell_length_a 8.6438
_cell_length_b 8.6438
_cell_length_c 8.6438
_cell_angle_alpha 151.63
_cell_angle_beta 151.63
_cell_angle_gamma 40.56
loop_
_atom_site_label
_atom_site_type_symbol
_atom_site_fract_x
_atom_site_fract_y
_atom_site_fract_z
_atom_site_occupancy
Rb1 Rb 0.0000 0.0000 0.0000 1
Ac1 Ac 0.2613 0.2613 0.0000 1
Te1 Te 0.6668 0.6668 0.0000 1
```

Calculated values
N(E_F)	2.2	states/eV/cell
V	48.52	Å³ per atom

Version C
First-principles (PBE-GGA) data for crystalline RbAcTe at its relaxed geometry, as listed in Alexandria via LeMat-Bulk.

Cell and atoms, written as CIF:
```
data_RbAcTe
_symmetry_space_group_name_H-M 'P 1'
_symmetry_Int_Tables_number 1
_symmetry_space_group_name_Hall 'P 1'
_cell_length_a 5.6413
_cell_length_b 5.6413
_cell_length_c 5.6533
_cell_angle_alpha 90.00
_cell_angle_beta 90.00
_cell_angle_gamma 120.00
loop_
_atom_site_label
_atom_site_type_symbol
_atom_site_fract_x
_atom_site_fract_y
_atom_site_fract_z
_atom_site_occupancy
Rb1 Rb 0.0000 0.0000 0.0000 1
Ac1 Ac 0.6667 0.3333 0.5006 1
Te1 Te 0.3333 0.6667 0.5029 1
```

Calculated values
N(E_F)	3.6	states/eV/cell
V	51.94	Å³ per atom

Q: Which of them is the most stable? A: version B.